Record 1
The following is a DFT calculation (meta-GGA SCAN) of a crystal of CsRb2TiRu relaxed with PBEsol.

## Properties
As for the volume: 42.393 Å³ per atom. As for the space-group type: No. 123. The calculated total energy comes out at -25.293 eV per atom. As for the density of states at the Fermi level: 0.913 states/eV/atom.

Cell lengths 4.464, 6.890, 6.890 Å; angles 90.00, 90.00, 90.00 degrees
Element x y z (fractional)
Rb 0.000 0.000 0.500
Rb 0.000 0.500 0.000
Ru 0.000 0.000 0.000
Ti 0.500 0.000 0.000
Cs 0.500 0.500 0.500

---

Record 2
The following is a DFT calculation (meta-GGA SCAN) of a crystal of Cs3RbS relaxed with PBEsol.

## Properties
As for the volume: 84.689 Å³ per atom. As for the space-group type: No. 221. As for the density of states at the Fermi level: 0.144 states/eV/atom. The calculation puts the excess energy over the best structure of this formula in the dataset at 949.7 meV per atom. The calculation puts the formation energy (no corrections) at 0.334 eV per atom.

Cell lengths 7.509, 7.509, 7.509 Å; angles 90.00, 90.00, 90.00 degrees
Element x y z (fractional)
Cs 0.500 0.000 0.000
Cs 0.000 0.500 0.000
Cs 0.000 0.000 0.500
S 0.500 0.500 0.500
Rb 0.000 0.000 0.000

---

Record 3
The following is a DFT calculation (meta-GGA SCAN) of a crystal of Cs3RbS relaxed with PBEsol.

## Properties
As for the volume: 65.209 Å³ per atom. As for the space-group type: No. 221. As for the density of states at the Fermi level: 0.305 states/eV/atom. The calculation puts the excess energy over the best structure of this formula in the dataset at 0.0 meV per atom. The calculation puts the formation energy (no corrections) at -0.616 eV per atom.

Cell lengths 6.883, 6.883, 6.883 Å; angles 90.00, 90.00, 90.00 degrees
Element x y z (fractional)
Rb 0.500 0.500 0.500
Cs 0.000 0.000 0.500
Cs 0.500 0.000 0.000
Cs 0.000 0.500 0.000
S 0.000 0.000 0.000

---

Record 4
The following is a DFT calculation (meta-GGA SCAN) of a crystal of Cs3RbSb relaxed with PBEsol.

## Properties
As for the volume: 73.864 Å³ per atom. As for the space-group type: No. 221. As for the density of states at the Fermi level: 0.878 states/eV/atom. The calculation puts the formation energy (no corrections) at 0.469 eV per atom.

Cell lengths 7.175, 7.175, 7.175 Å; angles 90.00, 90.00, 90.00 degrees
Element x y z (fractional)
Rb 0.000 0.000 0.000
Cs 0.500 0.000 0.000
Cs 0.000 0.000 0.500
Cs 0.000 0.500 0.000
Sb 0.500 0.500 0.500

---

Record 5
The following is a DFT calculation (meta-GGA SCAN) of a crystal of CsRbSb3 relaxed with PBEsol.

## Properties
As for the volume: 45.100 Å³ per atom. As for the space-group type: No. 221. As for the density of states at the Fermi level: 1.451 states/eV/atom. The calculation puts the formation energy (no corrections) at 0.824 eV per atom.

Cell lengths 6.087, 6.087, 6.087 Å; angles 90.00, 90.00, 90.00 degrees
Element x y z (fractional)
Sb 0.000 0.500 0.000
Sb 0.000 0.000 0.500
Sb 0.500 0.000 0.000
Cs 0.500 0.500 0.500
Rb 0.000 0.000 0.000

---

Record 6
The following is a DFT calculation (meta-GGA SCAN) of a crystal of CsRb2Sb2 relaxed with PBEsol.

## Properties
As for the volume: 45.831 Å³ per atom. As for the space-group type: No. 127. As for the density of states at the Fermi level: 0.879 states/eV/atom. The calculation puts the formation energy (no corrections) at -0.411 eV per atom.

Cell lengths 5.115, 9.465, 9.465 Å; angles 90.00, 90.00, 90.00 degrees
Element x y z (fractional)
Cs 0.000 0.000 0.000
Cs 0.000 0.500 0.500
Rb 0.500 0.673 0.827
Rb 0.500 0.327 0.173
Rb 0.500 0.173 0.673
Rb 0.500 0.827 0.327
Sb 0.000 0.395 0.895
Sb 0.000 0.605 0.105
Sb 0.000 0.105 0.395
Sb 0.000 0.895 0.605

---

Record 7
The following is a DFT calculation (meta-GGA SCAN) of a crystal of Cs2RbSb relaxed with PBEsol.

## Properties
As for the volume: 45.578 Å³ per atom. As for the space-group type: No. 225. The calculation puts the formation energy (no corrections) at -0.414 eV per atom.

Cell lengths 6.365, 6.365, 6.365 Å; angles 60.00, 60.00, 60.00 degrees
Element x y z (fractional)
Sb 0.500 0.500 0.500
Cs 0.750 0.750 0.750
Cs 0.250 0.250 0.250
Rb 0.000 0.000 0.000

---

Record 8
The following is a DFT calculation (meta-GGA SCAN) of a crystal of Cs2RbYSb relaxed with PBEsol.

## Properties
As for the volume: 49.260 Å³ per atom. As for the space-group type: No. 123. As for the density of states at the Fermi level: 0.539 states/eV/atom. The calculation puts the formation energy (no corrections) at 0.862 eV per atom.

Cell lengths 6.266, 6.270, 6.270 Å; angles 90.00, 90.00, 90.00 degrees
Each line ends with the local moment (μB).
Element x y z (fractional)
Rb 0.000 0.000 0.000  0.19
Cs 0.000 0.000 0.500  0.04
Cs 0.000 0.500 0.000  0.04
Sb 0.500 0.500 0.500  -0.05
Y 0.500 0.000 0.000  1.11

---

Record 9
The following is a DFT calculation (meta-GGA SCAN) of a crystal of CsRbSe2 relaxed with PBEsol.

## Properties
As for the volume: 35.149 Å³ per atom. As for the space-group type: No. 225. As for the density of states at the Fermi level: 0.620 states/eV/atom. The calculation puts the formation energy (no corrections) at -0.706 eV per atom.

Cell lengths 5.837, 5.837, 5.837 Å; angles 60.00, 60.00, 60.00 degrees
Each line ends with the local moment (μB).
Element x y z (fractional)
Se 0.750 0.750 0.750  0.59
Se 0.250 0.250 0.250  0.59
Cs 0.500 0.500 0.500  0.02
Rb 0.000 0.000 0.000  0.00

---

Record 10
The following is a DFT calculation (meta-GGA SCAN) of a crystal of CsRbSe relaxed with PBEsol.

## Properties
As for the volume: 44.525 Å³ per atom. As for the space-group type: No. 129. As for the density of states at the Fermi level: 0.000 states/eV/atom. The calculation puts the formation energy (no corrections) at -1.248 eV per atom.

Cell lengths 5.736, 5.736, 8.121 Å; angles 90.00, 90.00, 90.00 degrees
Element x y z (fractional)
Se 0.000 0.500 0.262
Se 0.500 0.000 0.738
Rb 0.000 0.000 0.500
Rb 0.500 0.500 0.500
Cs 0.500 0.500 0.000
Cs 0.000 0.000 0.000

---

Record 11
The following is a DFT calculation (meta-GGA SCAN) of a crystal of CsRb2Se2 relaxed with PBEsol.

## Properties
As for the volume: 42.154 Å³ per atom. As for the space-group type: No. 139. As for the density of states at the Fermi level: 0.542 states/eV/atom. The calculation puts the formation energy (no corrections) at -0.904 eV per atom.

Cell lengths 6.134, 6.134, 7.085 Å; angles 115.65, 115.65, 90.00 degrees
Each line ends with the local moment (μB).
Element x y z (fractional)
Se 0.250 0.750 0.500  0.30
Se 0.750 0.250 0.500  0.30
Rb 0.655 0.655 0.309  0.01
Rb 0.345 0.345 0.691  0.01
Cs 0.000 0.000 0.000  0.00

---

Record 12
The following is a DFT calculation (meta-GGA SCAN) of a crystal of CsRb2ZnSe relaxed with PBEsol.

## Properties
As for the volume: 52.080 Å³ per atom. As for the space-group type: No. 123. As for the density of states at the Fermi level: 0.735 states/eV/atom. The calculation puts the formation energy (no corrections) at 0.388 eV per atom.

Cell lengths 5.630, 6.801, 6.801 Å; angles 90.00, 90.00, 90.00 degrees
Element x y z (fractional)
Rb 0.000 0.500 0.000
Rb 0.000 0.000 0.500
Cs 0.000 0.000 0.000
Se 0.500 0.500 0.500
Zn 0.500 0.000 0.000

---

Record 13
The following is a DFT calculation (meta-GGA SCAN) of a crystal of CsRbSr3 relaxed with PBEsol.

## Properties
As for the volume: 65.293 Å³ per atom. As for the space-group type: No. 221. The calculated total energy comes out at -24.433 eV per atom. As for the density of states at the Fermi level: 0.512 states/eV/atom.

Cell lengths 6.886, 6.886, 6.886 Å; angles 90.00, 90.00, 90.00 degrees
Each line ends with the local moment (μB).
Element x y z (fractional)
Sr 0.500 0.000 0.000  0.18
Sr 0.000 0.500 0.000  0.18
Sr 0.000 0.000 0.500  0.18
Rb 0.500 0.500 0.500  0.01
Cs 0.000 0.000 0.000  0.21

---

Record 14
The following is a DFT calculation (meta-GGA SCAN) of a crystal of Cs2RbTe2 relaxed with PBEsol.

## Properties
As for the volume: 54.301 Å³ per atom. As for the space-group type: No. 139. As for the density of states at the Fermi level: 1.191 states/eV/atom. The calculation puts the formation energy (no corrections) at -0.738 eV per atom.

Cell lengths 6.720, 7.663, 6.720 Å; angles 64.00, 90.00, 116.00 degrees
Element x y z (fractional)
Te 0.750 0.500 0.750
Te 0.250 0.500 0.250
Cs 0.349 0.698 0.651
Cs 0.651 0.302 0.349
Rb 0.000 0.000 0.000

---

Record 15
The following is a DFT calculation (meta-GGA SCAN) of a crystal of Cs3RbTe relaxed with PBEsol.

## Properties
As for the volume: 85.599 Å³ per atom. As for the space-group type: No. 221. As for the density of states at the Fermi level: 0.069 states/eV/atom. The calculation puts the excess energy over the best structure of this formula in the dataset at 716.4 meV per atom. The calculation puts the formation energy (no corrections) at 0.100 eV per atom.

Cell lengths 7.536, 7.536, 7.536 Å; angles 90.00, 90.00, 90.00 degrees
Element x y z (fractional)
Rb 0.000 0.000 0.000
Cs 0.000 0.500 0.000
Cs 0.500 0.000 0.000
Cs 0.000 0.000 0.500
Te 0.500 0.500 0.500

---

Record 16
The following is a DFT calculation (meta-GGA SCAN) of a crystal of CsRb2Te2 relaxed with PBEsol.

## Properties
As for the volume: 49.224 Å³ per atom. As for the space-group type: No. 139. As for the density of states at the Fermi level: 0.423 states/eV/atom. The calculation puts the formation energy (no corrections) at -0.825 eV per atom.

Cell lengths 6.493, 7.427, 6.493 Å; angles 64.08, 90.00, 115.92 degrees
Each line ends with the local moment (μB).
Element x y z (fractional)
Rb 0.348 0.696 0.652  0.01
Rb 0.652 0.304 0.348  0.01
Te 0.250 0.500 0.250  0.28
Te 0.750 0.500 0.750  0.28
Cs 0.000 0.000 0.000  0.00

---

Record 17
The following is a DFT calculation (meta-GGA SCAN) of a crystal of Cs3RbTe relaxed with PBEsol.

## Properties
As for the volume: 81.042 Å³ per atom. As for the space-group type: No. 221. As for the density of states at the Fermi level: 0.316 states/eV/atom. The calculation puts the excess energy over the best structure of this formula in the dataset at 0.0 meV per atom. The calculation puts the formation energy (no corrections) at -0.616 eV per atom.

Cell lengths 7.400, 7.400, 7.400 Å; angles 90.00, 90.00, 90.00 degrees
Element x y z (fractional)
Cs 0.500 0.000 0.000
Cs 0.000 0.000 0.500
Cs 0.000 0.500 0.000
Te 0.000 0.000 0.000
Rb 0.500 0.500 0.500

---

Record 18
The following is a DFT calculation (meta-GGA SCAN) of a crystal of CsRbTl3 relaxed with PBEsol.

## Properties
As for the volume: 52.222 Å³ per atom. As for the space-group type: No. 221. The calculated total energy comes out at -54.731 eV per atom. As for the density of states at the Fermi level: 1.231 states/eV/atom.

Cell lengths 6.392, 6.392, 6.392 Å; angles 90.00, 90.00, 90.00 degrees
Element x y z (fractional)
Rb 0.000 0.000 0.000
Tl 0.000 0.500 0.000
Tl 0.500 0.000 0.000
Tl 0.000 0.000 0.500
Cs 0.500 0.500 0.500

---

Record 19
The following is a DFT calculation (meta-GGA SCAN) of a crystal of Cs3RbTl relaxed with PBEsol.

## Properties
As for the volume: 83.195 Å³ per atom. As for the space-group type: No. 221. The calculated total energy comes out at -41.284 eV per atom. As for the density of states at the Fermi level: 1.194 states/eV/atom.

Cell lengths 7.465, 7.465, 7.465 Å; angles 90.00, 90.00, 90.00 degrees
Element x y z (fractional)
Rb 0.500 0.500 0.500
Cs 0.000 0.500 0.000
Cs 0.000 0.000 0.500
Cs 0.500 0.000 0.000
Tl 0.000 0.000 0.000

---

Record 20
The following is a DFT calculation (meta-GGA SCAN) of a crystal of CsRb14Tl27 relaxed with PBEsol.

## Properties
As for the volume: 38.023 Å³ per atom. As for the space-group type: No. 189. The calculated total energy comes out at -54.547 eV per atom. As for the density of states at the Fermi level: 0.417 states/eV/atom.

Cell lengths 10.254, 10.254, 17.537 Å; angles 90.00, 90.00, 120.00 degrees
Element x y z (fractional)
Rb 0.000 0.612 0.185
Rb 0.388 0.388 0.815
Rb 0.667 0.333 0.000
Rb 0.730 0.730 0.687
Rb 0.730 0.730 0.313
Rb 0.270 0.000 0.687
Rb 0.000 0.612 0.815
Rb 0.612 0.000 0.185
Rb 0.333 0.667 0.000
Rb 0.270 0.000 0.313
Rb 0.388 0.388 0.185
Rb 0.000 0.270 0.313
Rb 0.612 0.000 0.815
Rb 0.000 0.270 0.687
Tl 0.619 0.000 0.602
Tl 0.000 0.287 0.909
Tl 0.381 0.381 0.398
Tl 0.287 0.000 0.091
Tl 0.173 0.463 0.500
Tl 0.713 0.713 0.909
Tl 0.000 0.786 0.000
Tl 0.000 0.287 0.091
Tl 0.537 0.710 0.500
Tl 0.214 0.214 0.000
Tl 0.333 0.667 0.344
Tl 0.463 0.173 0.500
Tl 0.786 0.000 0.000
Tl 0.290 0.827 0.500
Tl 0.713 0.713 0.091
Tl 0.000 0.000 0.851
Tl 0.381 0.381 0.602
Tl 0.827 0.290 0.500
Tl 0.667 0.333 0.656
Tl 0.710 0.537 0.500
Tl 0.287 0.000 0.909
Tl 0.000 0.619 0.398
Tl 0.000 0.619 0.602
Tl 0.667 0.333 0.344
Tl 0.619 0.000 0.398
Tl 0.333 0.667 0.656
Tl 0.000 0.000 0.149
Cs 0.000 0.000 0.500